A relaxed structure of VSe2F5. Source: Alexandria, functional GGA+U.

electronic total energy	-4.856	eV/atom
density of states at the Fermi level	2.0	states/eV/f.u.
calculated density	3.3	Mg/m³

The structure in extended XYZ format:
```
8
Lattice="3.8010 0.0000 0.0000 -1.2595 6.0389 0.0000 -0.6717 -0.5242 6.5668" Properties=species:S:1:pos:R:3 pbc="T T T"
V 0.0000 0.0000 0.0000
Se -0.0162 3.3944 3.7071
Se 1.8860 2.1203 2.8597
F -0.6679 1.1612 5.9473
F -0.0033 0.6628 1.7998
F 1.9005 0.0000 0.0000
F 1.8731 4.8519 4.7670
F 2.5377 4.3535 0.6195
```